# 1
Material: KAl4B2
Method: DFT, GGA-PBE
State: optimized geometry

Results
**DFT formation energy**: 1343 meV per atom

Cell: 5.5377 5.5377 7.2168 Å, 67.44 67.44 90.00°
Sites, in units of the cell vectors:
Al (0.2651, 0.2651, 0.4698)
Al (0.5000, 0.0000, 0.0000)
Al (0.0000, 0.5000, 0.0000)
Al (0.7349, 0.7349, 0.5302)
B (0.4359, 0.4359, 0.1282)
B (0.5641, 0.5641, 0.8718)
K (0.0000, 0.0000, 0.0000)

***

# 2
Material: HgTeIr2
Method: DFT, GGA-PBE
State: optimized geometry

Results
**E_form (uncorrected)**: 0.5248 eV per atom

Cell: 4.5124 4.5124 5.6700 Å, 78.82 78.82 41.98°
Sites, in units of the cell vectors:
Hg (0.7500, 0.7500, 0.7500)
Ir (0.5035, 0.5035, 0.4696)
Ir (0.9965, 0.9965, 0.0304)
Te (0.2500, 0.2500, 0.2500)